[1]
# KRb2Cd (PBE, relaxed)
data_KRb2Cd
_cell_length_a 12.3635
_cell_length_b 8.4819
_cell_length_c 10.9162
_cell_angle_alpha 90.00
_cell_angle_beta 116.04
_cell_angle_gamma 90.00
_space_group_name_H-M_alt 'P 1'
_space_group_IT_number 1
_space_group_name_Hall 'P 1'
loop_
_atom_site_label
_atom_site_fract_x
_atom_site_fract_y
_atom_site_fract_z
K1 0.0007 0.0000 0.1945
K2 0.0007 0.5000 0.6945
K3 0.9993 0.0000 0.8055
K4 0.9993 0.5000 0.3055
Rb1 0.2889 0.2176 0.6440
Rb2 0.2889 0.2824 0.1440
Rb3 0.3454 0.7489 0.4233
Rb4 0.3454 0.7511 0.9233
Rb5 0.6546 0.2489 0.0767
Rb6 0.6546 0.2511 0.5767
Rb7 0.7111 0.7176 0.8560
Rb8 0.7111 0.7824 0.3560
Cd1 0.0761 0.6448 0.0384
Cd2 0.0761 0.8552 0.5384
Cd3 0.9239 0.1448 0.4616
Cd4 0.9239 0.3552 0.9616
# crystal system = monoclinic
# volume = 64.3 Å³/atom
# DFT total energy = -1.007 eV per atom
# formation enthalpy at 0 K = -0.08 eV per formula unit
# M_tot = 0.00 μB/cell


[2]
# KRb2Cd (PBE, relaxed)
data_KRb2Cd
_cell_length_a 4.5817
_cell_length_b 4.5817
_cell_length_c 11.8667
_cell_angle_alpha 90.00
_cell_angle_beta 90.00
_cell_angle_gamma 90.00
_space_group_name_H-M_alt 'P 1'
_space_group_IT_number 1
_space_group_name_Hall 'P 1'
loop_
_atom_site_label
_atom_site_fract_x
_atom_site_fract_y
_atom_site_fract_z
K1 0.0000 0.0000 0.0000
Rb1 0.5000 0.5000 0.3096
Rb2 0.5000 0.5000 0.6904
Cd1 0.0000 0.0000 0.5000
# crystal system = tetragonal
# volume = 62.3 Å³/atom
# DFT total energy = -0.973 eV per atom
# formation enthalpy at 0 K = 0.05 eV per formula unit
# M_tot = 0.00 μB/cell


[3]
# K7Rb3Cd4 (PBE, relaxed)
data_K7Rb3Cd4
_cell_length_a 11.7700
_cell_length_b 11.7700
_cell_length_c 14.6173
_cell_angle_alpha 122.49
_cell_angle_beta 122.49
_cell_angle_gamma 27.54
_space_group_name_H-M_alt 'P 1'
_space_group_IT_number 1
_space_group_name_Hall 'P 1'
loop_
_atom_site_label
_atom_site_fract_x
_atom_site_fract_y
_atom_site_fract_z
K1 0.0000 0.0000 0.0000
K2 0.1704 0.1704 0.9298
K3 0.3160 0.3160 0.4787
K4 0.4911 0.4911 0.2291
K5 0.5089 0.5089 0.7709
K6 0.6840 0.6840 0.5213
K7 0.8296 0.8296 0.0702
Rb1 0.0000 0.0000 0.5000
Rb2 0.3073 0.3073 0.7926
Rb3 0.6927 0.6927 0.2074
Cd1 0.1151 0.1151 0.3128
Cd2 0.3327 0.3327 0.2427
Cd3 0.6673 0.6673 0.7573
Cd4 0.8849 0.8849 0.6872
# crystal system = monoclinic
# volume = 55.7 Å³/atom
# DFT total energy = -1.016 eV per atom
# formation enthalpy at 0 K = 0.02 eV per formula unit
# M_tot = 0.00 μB/cell